1.
Compound: NdScIn2Te4
Source: Alexandria
Functional: PBE
Structure: optimized geometry

a = 7.6081 Å, b = 4.3754 Å, c = 8.4179 Å
α = 90.00°, β = 107.29°, γ = 90.00°
Fractional positions:
Nd  0.0000  0.0000  0.0000
Sc  0.5000  0.5000  0.0000
In  0.0000  0.5000  0.5000
In  0.5000  0.0000  0.5000
Te  0.2585  0.5000  0.2236
Te  0.2797  0.0000  0.7867
Te  0.7203  0.0000  0.2133
Te  0.7415  0.5000  0.7764

Computed properties:
The calculation puts the total DFT energy (no corrections) at -0.167 Ha/atom. The value obtained for the total moment is 0.0 μB/cell. The energy relative to the elements, uncorrected comes out at -0.907 eV per atom. The density of states at the Fermi level is 0.046 states/eV per atom.

***

2.
Compound: NdThScIn
Source: Alexandria
Functional: PBE
Structure: optimized geometry

a = 7.6370 Å, b = 7.6370 Å, c = 7.6370 Å
α = 90.00°, β = 90.00°, γ = 90.00°
Fractional positions:
Nd  0.0000  0.0000  0.0000
Nd  0.0000  0.5000  0.5000
Nd  0.5000  0.0000  0.5000
Nd  0.5000  0.5000  0.0000
Th  0.2500  0.2500  0.7500
Th  0.2500  0.7500  0.2500
Th  0.7500  0.2500  0.2500
Th  0.7500  0.7500  0.7500
Sc  0.0000  0.0000  0.5000
Sc  0.0000  0.5000  0.0000
Sc  0.5000  0.0000  0.0000
Sc  0.5000  0.5000  0.5000
In  0.2500  0.2500  0.2500
In  0.2500  0.7500  0.7500
In  0.7500  0.2500  0.7500
In  0.7500  0.7500  0.2500

Computed properties:
The calculation puts the total DFT energy (no corrections) at -0.196 Ha/atom. The value obtained for the energy of formation from the pure elements is -0.12 eV per formula unit. The value obtained for the total moment is 0.0 μB/cell. The density of states at the Fermi level is 1.603 states/eV per atom.

***

3.
Compound: NdScTlIn
Source: Alexandria
Functional: PBE
Structure: optimized geometry

a = 7.4990 Å, b = 7.4990 Å, c = 7.4990 Å
α = 90.00°, β = 90.00°, γ = 90.00°
Fractional positions:
Nd  0.0000  0.0000  0.0000
Nd  0.0000  0.5000  0.5000
Nd  0.5000  0.0000  0.5000
Nd  0.5000  0.5000  0.0000
Sc  0.0000  0.0000  0.5000
Sc  0.0000  0.5000  0.0000
Sc  0.5000  0.0000  0.0000
Sc  0.5000  0.5000  0.5000
Tl  0.2500  0.2500  0.2500
Tl  0.2500  0.7500  0.7500
Tl  0.7500  0.2500  0.7500
Tl  0.7500  0.7500  0.2500
In  0.2500  0.2500  0.7500
In  0.2500  0.7500  0.2500
In  0.7500  0.2500  0.2500
In  0.7500  0.7500  0.7500

Computed properties:
The calculation puts the total DFT energy (no corrections) at -0.162 Ha/atom. The value obtained for the energy of formation from the pure elements is -1.47 eV per formula unit. The value obtained for the total moment is 0.0 μB/cell. The density of states at the Fermi level is 0.555 states/eV per atom.

***

4.
Compound: NdTmScIn
Source: Alexandria
Functional: PBE
Structure: optimized geometry

a = 7.5623 Å, b = 7.5623 Å, c = 7.5623 Å
α = 90.00°, β = 90.00°, γ = 90.00°
Fractional positions:
Nd  0.0000  0.0000  0.0000
Nd  0.0000  0.5000  0.5000
Nd  0.5000  0.0000  0.5000
Nd  0.5000  0.5000  0.0000
Tm  0.2500  0.2500  0.7500
Tm  0.2500  0.7500  0.2500
Tm  0.7500  0.2500  0.2500
Tm  0.7500  0.7500  0.7500
Sc  0.2500  0.2500  0.2500
Sc  0.2500  0.7500  0.7500
Sc  0.7500  0.2500  0.7500
Sc  0.7500  0.7500  0.2500
In  0.0000  0.0000  0.5000
In  0.0000  0.5000  0.0000
In  0.5000  0.0000  0.0000
In  0.5000  0.5000  0.5000

Computed properties:
The calculation puts the total DFT energy (no corrections) at -0.171 Ha/atom. The value obtained for the energy of formation from the pure elements is -0.34 eV per formula unit. The value obtained for the total moment is 7.5 μB/cell. The density of states at the Fermi level is 1.495 states/eV per atom. Its distance to the lowest polymorph of the same formula is 0.068 eV/atom.

***

5.
Compound: NdTmSc2In4
Source: Alexandria
Functional: PBE
Structure: optimized geometry

a = 9.0539 Å, b = 9.0539 Å, c = 9.0539 Å
α = 33.43°, β = 33.43°, γ = 33.43°
Fractional positions:
Nd  0.0000  0.0000  0.0000
Tm  0.5000  0.5000  0.5000
Sc  0.2494  0.2494  0.2494
Sc  0.7506  0.7506  0.7506
In  0.1270  0.1270  0.1270
In  0.3774  0.3774  0.3774
In  0.6226  0.6226  0.6226
In  0.8730  0.8730  0.8730

Computed properties:
The calculation puts the total DFT energy (no corrections) at -0.166 Ha/atom. The value obtained for the energy of formation from the pure elements is -3.34 eV per formula unit. The value obtained for the total moment is 0.0 μB/cell. The density of states at the Fermi level is 0.605 states/eV per atom.

***

6.
Compound: NdTmScIn
Source: Alexandria
Functional: PBE
Structure: optimized geometry

a = 7.6109 Å, b = 7.6109 Å, c = 7.6109 Å
α = 90.00°, β = 90.00°, γ = 90.00°
Fractional positions:
Nd  0.0000  0.0000  0.0000
Nd  0.0000  0.5000  0.5000
Nd  0.5000  0.0000  0.5000
Nd  0.5000  0.5000  0.0000
Tm  0.0000  0.0000  0.5000
Tm  0.0000  0.5000  0.0000
Tm  0.5000  0.0000  0.0000
Tm  0.5000  0.5000  0.5000
Sc  0.2500  0.2500  0.2500
Sc  0.2500  0.7500  0.7500
Sc  0.7500  0.2500  0.7500
Sc  0.7500  0.7500  0.2500
In  0.2500  0.2500  0.7500
In  0.2500  0.7500  0.2500
In  0.7500  0.2500  0.2500
In  0.7500  0.7500  0.7500

Computed properties:
The calculation puts the total DFT energy (no corrections) at -0.174 Ha/atom. The value obtained for the energy of formation from the pure elements is -0.61 eV per formula unit. The value obtained for the total moment is 3.9 μB/cell. The density of states at the Fermi level is 1.339 states/eV per atom. Its distance to the lowest polymorph of the same formula is 0.000 eV/atom.

***

Copy entry 5 word for word.
Compound: NdTmSc2In4
Source: Alexandria
Functional: PBE
Structure: optimized geometry

a = 9.0539 Å, b = 9.0539 Å, c = 9.0539 Å
α = 33.43°, β = 33.43°, γ = 33.43°
Fractional positions:
Nd  0.0000  0.0000  0.0000
Tm  0.5000  0.5000  0.5000
Sc  0.2494  0.2494  0.2494
Sc  0.7506  0.7506  0.7506
In  0.1270  0.1270  0.1270
In  0.3774  0.3774  0.3774
In  0.6226  0.6226  0.6226
In  0.8730  0.8730  0.8730

Computed properties:
The calculation puts the total DFT energy (no corrections) at -0.166 Ha/atom. The value obtained for the energy of formation from the pure elements is -3.34 eV per formula unit. The value obtained for the total moment is 0.0 μB/cell. The density of states at the Fermi level is 0.605 states/eV per atom.

***

Which of these has the highest total moment? number 4

***

What is the total DFT energy (no corrections) in the first record? -0.167 Ha/atom

***

Which of these has the highest total moment? number 4